CrIrOs2 | PBE | relaxed

Cell: 8.902 2.707 4.676 Å, 90.00 100.69 90.00°
Space group C2/m (No. 12)
Unique sites:
Cr 0.000 0.000 0.000 [2 per cell]
Ir 0.000 0.500 0.500 [2 per cell]
Os 0.246 0.500 0.238 [4 per cell]



La6Pr2Sc | PBE | relaxed

Cell: 7.5137 7.5137 19.9958 Å, 90.00 90.00 120.00°
Space group R3m (No. 160, hexagonal axes)
Unique sites:
La 0.0183 0.5092 0.0000 [9 per cell]
La 0.0521 0.5260 0.8075 [9 per cell]
Pr 0.0000 0.0000 0.8148 [3 per cell]
Pr 0.0000 0.0000 0.9810 [3 per cell]
Sc 0.0000 0.0000 0.5549 [3 per cell]



PrGa2Rh | PBE | relaxed

Cell: 3.286 3.286 7.090 Å, 90.00 90.00 90.00°
Space group P4/mmm (No. 123)
Unique sites:
Pr 0.000 0.000 0.000 [1 per cell]
Ga 0.500 0.500 0.311 [2 per cell]
Rh 0.000 0.000 0.500 [1 per cell]



Er3Al2Pd3 | PBE | relaxed

Cell: 8.1582 8.1582 5.5534 Å, 90.00 90.00 120.00°
Space group P6_3/mcm (No. 193)
Unique sites:
Er 0.0000 0.2618 0.2500 [6 per cell]
Al 0.3333 0.6667 0.0000 [4 per cell]
Pd 0.0000 0.4030 0.7500 [6 per cell]



AcPm2YTm5 | PBE | relaxed

Cell: 8.830 8.830 15.347 Å, 90.00 90.00 90.00°
Space group I4/mcm (No. 140)
Unique sites:
Ac 0.000 0.000 0.250 [4 per cell]
Pm 0.116 0.384 0.000 [8 per cell]
Y 0.000 0.500 0.250 [4 per cell]
Tm 0.000 0.000 0.000 [4 per cell]
Tm 0.207 0.293 0.368 [16 per cell]



MgOsW2 | PBE | relaxed

Cell: 3.140 4.521 9.094 Å, 90.00 90.00 90.00°
Space group Cmm2 (No. 35)
Unique sites:
Mg 0.000 0.000 0.000 [2 per cell]
Os 0.000 0.500 0.750 [2 per cell]
W 0.000 0.000 0.513 [2 per cell]
W 0.000 0.500 0.267 [2 per cell]



TePdI3 | PBE | relaxed

* E_form (uncorrected): 0.2300 eV per atom

Cell: 5.452 5.452 5.452 Å, 90.00 90.00 90.00°
Space group Pm-3m (No. 221)
Unique sites:
Te 0.000 0.000 0.000 [1 per cell]
Pd 0.500 0.500 0.500 [1 per cell]
I 0.000 0.500 0.500 [3 per cell]



Ce5Ge3Os | PBE | relaxed

Cell: 13.519 10.131 8.121 Å, 90.00 117.83 90.00°
Space group C2/m (No. 12)
Unique sites:
Ce 0.000 0.222 0.000 [4 per cell]
Ce 0.050 0.000 0.733 [4 per cell]
Ce 0.177 0.291 0.614 [8 per cell]
Ce 0.224 0.500 0.033 [4 per cell]
Ge 0.000 0.500 0.000 [2 per cell]
Ge 0.000 0.500 0.500 [2 per cell]
Ge 0.150 0.000 0.173 [4 per cell]
Ge 0.195 0.000 0.541 [4 per cell]
Os 0.103 0.500 0.329 [4 per cell]



| no. | calculated total energy (eV/atom) |
| --- | --- |
| 1 | -10.210 |
| 2 | -4.764 |
| 3 | -5.087 |
| 4 | -5.424 |
| 5 | -4.454 |
| 6 | -9.417 |
| 7 | -2.367 |
| 8 | -6.209 |